1.
! HoEr2Ni2 | the Open Quantum Materials Database | PBE | relaxed; values from VASP
! - calculated density (g/cm³) = 9.42
! - ΔH_f (0 K) (eV/atom) = -0.398
! - space-group type = C2/m (12)
&SYSTEM
  ibrav = 0, nat = 10, ntyp = 3
/
ATOMIC_SPECIES
Er 167.26 Er.upf
Ho 164.93 Ho.upf
Ni 58.69 Ni.upf
CELL_PARAMETERS angstrom
-2.858 0.044 6.218
0.707 -0.249 6.802
1.113 9.097 -2.212
ATOMIC_POSITIONS angstrom
Er -1.866 -0.155 11.301
Er 0.099 3.321 1.064
Er -1.138 5.572 9.744
Er 0.827 9.048 -0.493
Ho -0.504 2.896 4.527
Ho -0.536 5.996 6.281
Ni -0.990 1.204 6.646
Ni -1.348 1.915 9.185
Ni 0.309 6.977 1.623
Ni -0.049 7.688 4.162

2.
! Ho3ErNi4 | the Open Quantum Materials Database | PBE | relaxed; values from VASP
! - calculated density (g/cm³) = 9.52
! - ΔH_f (0 K) (eV/atom) = -0.481
! - space-group type = Pm (6)
&SYSTEM
  ibrav = 0, nat = 8, ntyp = 3
/
ATOMIC_SPECIES
Er 167.26 Er.upf
Ho 164.93 Ho.upf
Ni 58.69 Ni.upf
CELL_PARAMETERS angstrom
5.383 0.000 0.000
0.000 4.149 0.000
-0.001 0.000 7.001
ATOMIC_POSITIONS angstrom
Er 1.989 0.000 4.760
Ho 0.701 0.000 1.259
Ho 3.392 2.074 2.243
Ho 4.681 2.074 5.742
Ni 3.362 0.000 0.265
Ni 0.671 2.074 3.236
Ni 4.711 0.000 3.766
Ni 2.019 2.074 6.735

3.
! Pr3Ho2ErNiTe2 | the Open Quantum Materials Database | PBE | relaxed; values from VASP
! - calculated density (g/cm³) = 8.07
! - space-group type = Amm2 (38)
! - VASP energy (eV per cell) = -46.6
&SYSTEM
  ibrav = 0, nat = 9, ntyp = 5
/
ATOMIC_SPECIES
Er 167.26 Er.upf
Ho 164.93 Ho.upf
Ni 58.69 Ni.upf
Pr 140.91 Pr.upf
Te 127.60 Te.upf
CELL_PARAMETERS angstrom
4.048 0.000 0.000
0.000 7.366 4.258
0.000 -7.366 4.258
ATOMIC_POSITIONS angstrom
Er 2.024 0.000 1.980
Ho 2.024 1.716 7.523
Ho 2.024 -1.716 7.523
Ni 0.000 0.000 0.012
Pr 0.000 2.982 1.724
Pr 0.000 -2.982 1.724
Pr 0.000 0.000 5.065
Te 2.024 2.453 4.257
Te 2.024 -2.453 4.257